{"formula": "Zr5V2H12", "functional": "PBE", "state": "relaxed", "spacegroup": "C2/m", "magmom_total_mub_per_fu": 0.07, "volume_a3_per_cell": 178, "final_energy_ev_per_atom": -5.67, "density_g_cm3": 5.32, "lattice": [[5.464, 0.000, 0.000], [-2.732, 5.097, 0.117], [0.000, -1.661, 6.358]], "species": ["V", "H", "V", "Zr", "H", "H", "Zr", "H", "H", "H", "Zr", "Zr", "Zr", "H", "H", "H", "H", "H", "H"], "frac_coords": [[0.227, 0.000, 0.000], [0.516, 0.032, 0.839], [0.773, 0.000, 0.000], [0.708, 0.417, 0.831], [0.049, 0.098, 0.838], [0.596, 0.668, 0.408], [0.338, 0.675, 0.641], [0.123, 0.650, 0.907], [0.484, 0.968, 0.161], [0.877, 0.350, 0.093], [0.662, 0.325, 0.359], [0.292, 0.583, 0.169], [0.000, 0.000, 0.500], [0.927, 0.332, 0.592], [0.527, 0.650, 0.907], [0.404, 0.332, 0.592], [0.473, 0.350, 0.093], [0.951, 0.902, 0.162], [0.073, 0.668, 0.408]]}